#A
## CaLaNiPd (GGA-PBE)

Data for crystalline CaLaNiPd at its relaxed geometry.

Cell: 5.0347 5.0347 5.0347 Å, 60.00 60.00 60.00°
Fractional positions:
Ca 0.0000 0.0000 0.0000
La 0.5000 0.5000 0.5000
Ni 0.7500 0.7500 0.7500
Pd 0.2500 0.2500 0.2500

Output
The value obtained for the total magnetic moment is 0.0 μB/cell.

***

#B
## CaLaNiPd (GGA-PBE)

Data for crystalline CaLaNiPd at its relaxed geometry.

Cell: 4.2655 5.8927 5.8927 Å, 39.68 90.00 90.00°
Fractional positions:
Ca 0.0000 0.0000 0.0000
La 0.5000 0.2788 0.2788
Ni 0.0000 0.7178 0.7178
Pd 0.5000 0.5680 0.5680

Output
The value obtained for the total magnetic moment is 0.0 μB/cell.

***

Energetically preferred structure: #B | next structure: +69 meV per atom